(1)
The following is a DFT calculation (PBE) of a relaxed BaOsS2 crystal.

Unit cell a=8.3544 b=8.3544 c=8.3544 alpha=26.30 beta=26.30 gamma=26.30
With the nearest neighbours (Å) after each atom.
Sites, in units of the cell vectors:
S1 0.1243 0.1243 0.1243  3 Os 2.42
S2 0.8757 0.8757 0.8757  3 Os 2.42
Ba1 0.0000 0.0000 0.0000  2 S 3.01
Os1 0.5000 0.5000 0.5000  6 S 2.42

Results
Energy above the lowest structure with this stoichiometry in eV per formula unit: 0.30
VASP energy in eV per atom: -5.532
DOS at the Fermi energy in states/eV/f.u.: 4.6
V in Å³/atom: 25.22
E_form (uncorrected) in eV per formula unit: -0.7

(2)
The following is a DFT calculation (PBE) of a relaxed Y2AlRe crystal.

Unit cell a=5.8381 b=5.8381 c=5.8381 alpha=143.79 beta=130.57 gamma=62.79
With the nearest neighbours (Å) after each atom.
Sites, in units of the cell vectors:
Y1 0.0230 0.0230 0.0000  4 Al 3.11, 4 Re 3.13-3.45, 4 Y 3.25-3.37
Al1 0.4601 0.4601 0.0000  2 Re 2.56
Re1 0.2787 0.7787 0.5000  2 Al 2.56
Y2 0.7382 0.2382 0.5000  4 Re 3.07, 4 Y 3.25-3.37, 4 Al 3.29-3.31

Results
Energy of formation from the pure elements in eV per atom: -0.012
VASP energy in eV per atom: -7.292
DOS at the Fermi energy in states/eV/f.u.: 2.3
V in Å³/atom: 22.07

(3)
The following is a DFT calculation (PBE) of a relaxed Ca2AcGeN crystal.

Unit cell a=4.0774 b=8.3007 c=8.0174 alpha=90.00 beta=90.00 gamma=104.22
With the nearest neighbours (Å) after each atom.
Sites, in units of the cell vectors:
Ca1 0.1531 0.3062 0.0042  1 N 2.46
Ac1 0.5087 0.0174 0.7500  4 N 2.86, 1 Ge 3.13
N1 0.0000 0.0000 0.0000  2 Ca 2.46
Ac2 0.4913 0.9826 0.2500  4 N 2.86, 1 Ge 3.13
Ca2 0.8469 0.6938 0.9958  1 N 2.46
Ca3 0.1531 0.3062 0.4958  1 N 2.46
N2 0.0000 0.0000 0.5000  2 Ca 2.46
Ge1 0.7032 0.4063 0.7500  6 Ca 2.99-3.04, 1 Ac 3.13
Ge2 0.2968 0.5937 0.2500  6 Ca 2.99-3.04, 1 Ac 3.13
Ca4 0.8469 0.6938 0.5042  1 N 2.46

Results
VASP energy in eV per atom: -4.837
DOS at the Fermi energy in states/eV/f.u.: 1.8
V in Å³/atom: 26.30
E_form (uncorrected) in eV per formula unit: -3.1

(4)
The following is a DFT calculation (PBE) of a relaxed ScAlAsSe2 crystal.

Unit cell a=4.8959 b=4.8959 c=4.7762 alpha=90.00 beta=90.00 gamma=90.00
With the nearest neighbours (Å) after each atom.
Sites, in units of the cell vectors:
Sc1 0.5000 0.5000 0.5000  8 Se 3.42, 4 As 3.46
Al1 0.0000 0.0000 0.0000  2 As 2.39, 4 Se 2.45
As1 0.0000 0.0000 0.5000  2 Al 2.39
Se1 0.5000 0.0000 0.0000  2 Al 2.45
Se2 0.0000 0.5000 0.0000  2 Al 2.45

Results
Energy above the lowest structure with this stoichiometry in eV per formula unit: 0.00
VASP energy in eV per atom: -4.560
DOS at the Fermi energy in states/eV/f.u.: 1.5
V in Å³/atom: 22.90
E_form (uncorrected) in eV per formula unit: -1.1